The following is a DFT calculation (PBE-GGA) of crystalline RbAgPb3 at its relaxed geometry.

a = 5.705 Å, b = 5.705 Å, c = 5.705 Å
α = 90.00°, β = 90.00°, γ = 90.00°
Space group Pm-3m (No. 221)
Asymmetric unit:
Rb1 0.000 0.000 0.000 (multiplicity 1)
Ag1 0.500 0.500 0.500 (multiplicity 1)
Pb1 0.000 0.500 0.500 (multiplicity 3)

Properties
Its density of states at the Fermi level is 5.206 states/eV/cell. Its total energy is -0.2063 Ry per atom. The value obtained for the energy of formation is 0.18 eV/atom.


The following is a DFT calculation (PBE-GGA) of crystalline RbAg4Pb at its relaxed geometry.

a = 8.307 Å, b = 8.307 Å, c = 8.307 Å
α = 90.00°, β = 90.00°, γ = 90.00°
Space group F-43m (No. 216)
Asymmetric unit:
Rb1 0.000 0.000 0.000 (multiplicity 4)
Ag1 0.124 0.124 0.376 (multiplicity 16)
Pb1 0.250 0.250 0.750 (multiplicity 4)

Properties
Its density of states at the Fermi level is 29.266 states/eV/cell. Its total energy is -0.1897 Ry per atom. The value obtained for the energy of formation is 0.10 eV/atom.


The following is a DFT calculation (PBE-GGA) of crystalline RbAgPb3 at its relaxed geometry.

a = 6.194 Å, b = 6.194 Å, c = 6.194 Å
α = 90.00°, β = 90.00°, γ = 90.00°
Space group Pm-3m (No. 221)
Asymmetric unit:
Rb1 0.000 0.000 0.000 (multiplicity 1)
Ag1 0.500 0.500 0.500 (multiplicity 1)
Pb1 0.000 0.000 0.500 (multiplicity 3)

Properties
Its density of states at the Fermi level is 3.130 states/eV/cell. Its total energy is -0.1257 Ry per atom. The value obtained for the energy of formation is 1.28 eV/atom.


The following is a DFT calculation (PBE-GGA) of crystalline RbAgPb6 at its relaxed geometry.

a = 5.030 Å, b = 5.030 Å, c = 10.931 Å
α = 90.00°, β = 90.00°, γ = 90.00°
Space group P4/mmm (No. 123)
Asymmetric unit:
Rb1 0.000 0.000 0.000 (multiplicity 1)
Ag1 0.000 0.000 0.500 (multiplicity 1)
Pb1 0.000 0.500 0.335 (multiplicity 4)
Pb2 0.500 0.500 0.150 (multiplicity 2)

Properties
Its density of states at the Fermi level is 2.121 states/eV/cell. Its total energy is -0.2420 Ry per atom. The value obtained for the energy of formation is -0.03 eV/atom.


The following is a DFT calculation (PBE-GGA) of crystalline Rb5AgPb6 at its relaxed geometry.

a = 7.426 Å, b = 14.919 Å, c = 10.322 Å
α = 90.00°, β = 109.37°, γ = 90.00°
Space group C2/m (No. 12)
Asymmetric unit:
Rb1 0.000 0.000 0.000 (multiplicity 2)
Rb2 0.000 0.145 0.500 (multiplicity 4)
Rb3 0.000 0.274 0.000 (multiplicity 4)
Ag1 0.000 0.500 0.500 (multiplicity 2)
Pb1 0.120 0.500 0.172 (multiplicity 4)
Pb2 0.141 0.383 0.718 (multiplicity 8)

Properties
Its density of states at the Fermi level is 6.004 states/eV/cell. Its total energy is -0.1880 Ry per atom. The value obtained for the energy of formation is -0.06 eV/atom.


The following is a DFT calculation (PBE-GGA) of crystalline RbAg2RuPb at its relaxed geometry.

a = 5.267 Å, b = 5.267 Å, c = 5.178 Å
α = 90.00°, β = 90.00°, γ = 90.00°
Space group P4/mmm (No. 123)
Asymmetric unit:
Rb1 0.000 0.000 0.000 (multiplicity 1)
Ag1 0.000 0.500 0.500 (multiplicity 2)
Ru1 0.000 0.000 0.500 (multiplicity 1)
Pb1 0.500 0.500 0.000 (multiplicity 1)

Properties
Its density of states at the Fermi level is 4.970 states/eV/cell. Its total energy is -0.2078 Ry per atom. The value obtained for the energy of formation is 1.10 eV/atom.